Record 1
KCa4Ac: relaxed, GGA-PBE.

Energy of formation from the pure elements, eV per atom: 0.20
DOS at the Fermi energy, states/eV/atom: 1.235

Cell lengths 7.4050, 7.4050, 7.4050 Å; angles 60.00, 60.00, 60.00 degrees
Closest atoms and distances in Å follow each position.
Sites, in units of the cell vectors:
1 Ac 0.0000 0.0000 0.0000  12 Ca 4.34, 4 K 4.53
2 Ca 0.6262 0.6262 0.1213  6 Ca 3.67-3.74
3 Ca 0.1213 0.6262 0.6262  6 Ca 3.67-3.74
4 Ca 0.6262 0.6262 0.6262  6 Ca 3.67-3.74
5 Ca 0.6262 0.1213 0.6262  6 Ca 3.67-3.74
6 K 0.2500 0.2500 0.2500  12 Ca 4.35, 4 Ac 4.53

---

Record 2
KCa2Ac: relaxed, GGA-PBE.

Energy relative to the lowest polymorph listed for this composition, eV per atom: 0.090
Energy of formation from the pure elements, eV per atom: 0.19
DOS at the Fermi energy, states/eV/atom: 1.080

Cell lengths 4.1164, 6.7526, 6.7526 Å; angles 90.00, 90.00, 90.00 degrees
Closest atoms and distances in Å follow each position.
Sites, in units of the cell vectors:
1 Ca 0.0000 0.0000 0.5000  4 K 3.95, 4 Ac 3.95, 2 Ca 4.12
2 Ca 0.0000 0.5000 0.0000  4 K 3.95, 4 Ac 3.95, 2 Ca 4.12
3 Ac 0.5000 0.0000 0.0000  8 Ca 3.95, 2 Ac 4.12
4 K 0.5000 0.5000 0.5000  8 Ca 3.95, 2 K 4.12

---

Record 3
KCa2Ac: relaxed, GGA-PBE.

Energy relative to the lowest polymorph listed for this composition, eV per atom: 0.000
Energy of formation from the pure elements, eV per atom: 0.10
DOS at the Fermi energy, states/eV/atom: 1.395

Cell lengths 3.9867, 3.9867, 13.9055 Å; angles 81.76, 81.76, 60.00 degrees
Closest atoms and distances in Å follow each position.
Sites, in units of the cell vectors:
1 Ca 0.7444 0.7444 0.7667  3 Ac 3.94, 6 Ca 3.99, 3 K 4.32
2 Ca 0.2556 0.2556 0.2333  3 Ac 3.94, 6 Ca 3.99, 3 K 4.32
3 Ac 0.0000 0.0000 0.0000  6 Ca 3.94, 6 Ac 3.99
4 K 0.5000 0.5000 0.5000  6 K 3.99, 6 Ca 4.32

---

Record 4
KCa2Ac: relaxed, GGA-PBE.

Energy relative to the lowest polymorph listed for this composition, eV per atom: 0.004
Energy of formation from the pure elements, eV per atom: 0.11
DOS at the Fermi energy, states/eV/atom: 1.208

Cell lengths 3.9495, 3.9495, 12.3935 Å; angles 90.00, 90.00, 90.00 degrees
Closest atoms and distances in Å follow each position.
Sites, in units of the cell vectors:
1 Ca 0.0000 0.0000 0.2239  4 Ac 3.94, 4 Ca 3.95
2 Ca 0.0000 0.0000 0.7761  4 Ac 3.94, 4 Ca 3.95
3 K 0.5000 0.5000 0.5000  4 K 3.95, 8 Ca 4.42
4 Ac 0.5000 0.5000 0.0000  8 Ca 3.94, 4 Ac 3.95

---

Record 5
K4CaAc3O8: relaxed, GGA-PBE.

Formation energy (no corrections), eV/atom: -2.379
DOS at the Fermi energy, states/eV/atom: 0.842

Cell lengths 7.5658, 7.7015, 7.5659 Å; angles 119.41, 120.00, 90.00 degrees
Closest atoms and distances in Å follow each position.
Sites, in units of the cell vectors:
1 O 0.7336 0.7010 0.4673  3 Ac 2.53
2 O 0.7686 0.3046 0.0361  1 Ca 2.51, 2 Ac 2.51
3 O 0.2664 0.2990 0.5327  3 Ac 2.53
4 O 0.7686 0.3046 0.5373  1 Ca 2.51, 2 Ac 2.51
5 O 0.2314 0.6954 0.9639  1 Ca 2.51, 2 Ac 2.51
6 O 0.7326 0.6954 0.9639  1 Ca 2.51, 2 Ac 2.51
7 O 0.2314 0.6954 0.4627  1 Ca 2.51, 2 Ac 2.51
8 O 0.2674 0.3046 0.0361  1 Ca 2.51, 2 Ac 2.51
9 Ac 0.5000 0.5000 0.0000  6 O 2.51-2.53
10 Ac 0.0000 0.5000 0.5000  6 O 2.51-2.53
11 Ac 0.5000 0.5000 0.5000  6 O 2.51-2.53
12 K 0.5000 0.0000 0.0000  6 O 2.92
13 K 0.0000 0.0000 0.0000  6 O 2.89-2.91
14 K 0.0000 0.0000 0.5000  6 O 2.89-2.91
15 K 0.5000 0.0000 0.5000  6 O 2.89-2.91
16 Ca 0.0000 0.5000 0.0000  6 O 2.51

---

Record 6
K3CaAc2O6: relaxed, GGA-PBE.

Formation energy (no corrections), eV/atom: -2.324
DOS at the Fermi energy, states/eV/atom: 0.844

Cell lengths 6.4916, 6.4916, 6.6882 Å; angles 99.11, 99.11, 120.20 degrees
Closest atoms and distances in Å follow each position.
Sites, in units of the cell vectors:
1 O 0.0663 0.3949 0.1981  1 Ca 2.48, 2 Ac 2.50-2.52
2 O 0.9337 0.6051 0.8019  1 Ca 2.48, 2 Ac 2.50-2.52
3 O 0.6051 0.9337 0.8019  1 Ca 2.48, 2 Ac 2.50-2.52
4 O 0.2638 0.2638 0.8038  1 Ca 2.46, 2 Ac 2.51
5 O 0.7362 0.7362 0.1962  1 Ca 2.46, 2 Ac 2.51
6 O 0.3949 0.0663 0.1981  1 Ca 2.48, 2 Ac 2.50-2.52
7 Ac 0.3333 0.6667 0.0000  6 O 2.50-2.52
8 Ac 0.6667 0.3333 0.0000  6 O 2.50-2.52
9 K 0.1591 0.8409 0.5000  6 O 2.84-2.97
10 K 0.8409 0.1591 0.5000  6 O 2.84-2.97
11 K 0.5000 0.5000 0.5000  6 O 2.88-2.91
12 Ca 0.0000 0.0000 0.0000  6 O 2.46-2.48

---

Repeat the third record exactly.
KCa2Ac: relaxed, GGA-PBE.

Energy relative to the lowest polymorph listed for this composition, eV per atom: 0.000
Energy of formation from the pure elements, eV per atom: 0.10
DOS at the Fermi energy, states/eV/atom: 1.395

Cell lengths 3.9867, 3.9867, 13.9055 Å; angles 81.76, 81.76, 60.00 degrees
Closest atoms and distances in Å follow each position.
Sites, in units of the cell vectors:
1 Ca 0.7444 0.7444 0.7667  3 Ac 3.94, 6 Ca 3.99, 3 K 4.32
2 Ca 0.2556 0.2556 0.2333  3 Ac 3.94, 6 Ca 3.99, 3 K 4.32
3 Ac 0.0000 0.0000 0.0000  6 Ca 3.94, 6 Ac 3.99
4 K 0.5000 0.5000 0.5000  6 K 3.99, 6 Ca 4.32